[1]
Entry from Alexandria via LeMat-Bulk: YAl2As2 after structural relaxation (PBE-GGA).

POSCAR file:
```
YAl2As2
1.0
4.959 0.000 0.000
0.000 4.959 0.000
0.000 0.000 8.592
Y Al As
2 4 4
Cartesian
0.000 0.000 0.000 Y
2.479 2.479 4.296 Y
0.000 0.000 3.010 Al
0.000 0.000 5.582 Al
2.479 2.479 1.286 Al
2.479 2.479 7.306 Al
0.000 2.479 2.148 As
0.000 2.479 6.444 As
2.479 0.000 2.148 As
2.479 0.000 6.444 As
```

V: 21.13 Å³/atom
Magnetization: 0.00 Bohr magnetons per cell
Formation energy: -2.11 eV/f.u.

***

[2]
Entry from Alexandria via LeMat-Bulk: YAl4As after structural relaxation (PBE-GGA).

POSCAR file:
```
YAl4As
1.0
0.000 3.869 3.869
3.869 0.000 3.869
3.869 3.869 0.000
Y Al As
1 4 1
Cartesian
0.000 0.000 0.000 Y
4.837 2.901 2.901 Al
2.901 4.837 2.901 Al
2.901 2.901 4.837 Al
4.837 4.837 4.837 Al
1.935 1.935 1.935 As
```

V: 19.31 Å³/atom
Magnetization: 0.00 Bohr magnetons per cell
Formation energy: -0.95 eV/f.u.

***

[3]
Entry from Alexandria via LeMat-Bulk: YAlAs2 after structural relaxation (PBE-GGA).

POSCAR file:
```
YAlAs2
1.0
11.436 0.000 0.000
0.000 3.826 0.000
-0.247 0.000 4.012
Y Al As
2 2 4
Cartesian
0.000 0.000 0.000 Y
5.718 1.913 0.000 Y
2.898 1.913 1.785 Al
8.616 0.000 1.785 Al
0.470 1.913 2.046 As
3.069 0.000 3.932 As
6.188 0.000 2.046 As
8.787 1.913 3.932 As
```

V: 21.94 Å³/atom
Magnetization: 0.00 Bohr magnetons per cell
Formation energy: -2.89 eV/f.u.

***

- Among the records above, which one has the highest V?
  YAlAs2